First-principles (PBE-GGA) data for crystalline TmReGe at its relaxed geometry, as listed in the Open Quantum Materials Database.

Geometry as CIF:
```
data_TmReGe
_chemical_formula_sum 'Tm1 Re1 Ge1'
_space_group_name_H-M_alt 'P 1'
_space_group_IT_number 1
_cell_length_a 4.594
_cell_length_b 4.594
_cell_length_c 4.594
_cell_angle_alpha 60.00
_cell_angle_beta 60.00
_cell_angle_gamma 60.00
loop_
_space_group_symop_operation_xyz
'x,y,z'
loop_
_atom_site_label
_atom_site_type_symbol
_atom_site_fract_x
_atom_site_fract_y
_atom_site_fract_z
_atom_site_occupancy
Re1 Re 0.750 0.750 0.750 1
Tm1 Tm 0.000 0.000 0.000 1
Ge1 Ge 0.250 0.250 0.250 1
```

Calculated values
As for the crystal system: cubic. The excess energy over the best structure of this formula in the dataset comes out at 92.3 kJ per mole of atoms. As for the symmetry: F-43m (216).